No. 1
Computed, not measured: an optimized crystal structure of NaAlZnHg at the PBE-GGA level of DFT.

Final energy   -0.1194 Ry/atom

```
NaAlZnHg
1.0
0.000 3.425 3.425
3.425 0.000 3.425
3.425 3.425 0.000
Na Al Zn Hg
1 1 1 1
Cartesian
0.000 0.000 0.000 Na
3.425 3.425 3.425 Al
5.137 5.137 5.137 Zn
1.712 1.712 1.712 Hg
```

=====

No. 2
Computed, not measured: an optimized crystal structure of Nb2Al2Hg at the PBE-GGA level of DFT.

Final energy   -0.4053 Ry/atom

```
Nb2Al2Hg
1.0
7.875 0.000 0.000
0.000 7.875 0.000
0.000 0.000 3.076
Nb Al Hg
4 4 2
Cartesian
0.933 3.005 0.000 Nb
3.005 6.943 0.000 Nb
4.871 0.933 0.000 Nb
6.943 4.871 0.000 Nb
1.408 5.346 1.538 Al
2.530 1.408 1.538 Al
5.346 6.468 1.538 Al
6.468 2.530 1.538 Al
0.000 0.000 0.000 Hg
3.938 3.938 0.000 Hg
```

=====

No. 3
Computed, not measured: an optimized crystal structure of Nb3AlHg at the PBE-GGA level of DFT.

Final energy   -0.4289 Ry/atom

```
Nb3AlHg
1.0
4.734 0.000 0.000
0.000 4.734 0.000
0.000 0.000 4.734
Nb Al Hg
3 1 1
Cartesian
0.000 0.000 2.367 Nb
0.000 2.367 0.000 Nb
2.367 0.000 0.000 Nb
0.000 0.000 0.000 Al
2.367 2.367 2.367 Hg
```

=====

No. 4
Computed, not measured: an optimized crystal structure of Nb2Al2Hg at the PBE-GGA level of DFT.

Final energy   -0.4114 Ry/atom

```
Nb2Al2Hg
1.0
6.908 0.000 0.000
0.000 6.908 0.000
0.000 0.000 3.681
Nb Al Hg
4 4 2
Cartesian
1.198 2.256 0.000 Nb
2.256 5.711 0.000 Nb
4.652 1.198 0.000 Nb
5.711 4.652 0.000 Nb
0.869 4.323 1.841 Al
2.585 0.869 1.841 Al
4.323 6.039 1.841 Al
6.039 2.585 1.841 Al
0.000 0.000 1.841 Hg
3.454 3.454 1.841 Hg
```

=====

No. 5
Computed, not measured: an optimized crystal structure of NbAl2HgPd at the PBE-GGA level of DFT.

Final energy   -0.2979 Ry/atom

```
NbAl2HgPd
1.0
4.599 0.000 0.000
0.000 4.599 0.000
0.000 0.000 5.069
Nb Al Hg Pd
1 2 1 1
Cartesian
0.000 0.000 0.000 Nb
0.000 2.300 2.535 Al
2.300 0.000 2.535 Al
2.300 2.300 0.000 Hg
2.300 2.300 2.535 Pd
```

=====

No. 6
Computed, not measured: an optimized crystal structure of Nb2AlHgSb at the PBE-GGA level of DFT.

Formation energy without anion corrections   1413.6 meV per atom

```
Nb2AlHgSb
1.0
5.140 0.000 0.000
0.000 5.140 0.000
0.000 0.000 5.239
Nb Al Hg Sb
2 1 1 1
Cartesian
0.000 2.570 0.000 Nb
2.570 0.000 0.000 Nb
0.000 0.000 2.620 Al
2.570 2.570 2.620 Hg
2.570 2.570 0.000 Sb
```

=====

No. 7
Computed, not measured: an optimized crystal structure of TiNbAl2Hg at the PBE-GGA level of DFT.

Final energy   -0.2894 Ry/atom

```
TiNbAl2Hg
1.0
4.713 0.000 0.000
0.000 4.713 0.000
0.000 0.000 5.261
Ti Nb Al Hg
1 1 2 1
Cartesian
0.000 0.000 0.000 Ti
2.357 2.357 0.000 Nb
0.000 2.357 2.631 Al
2.357 0.000 2.631 Al
2.357 2.357 2.631 Hg
```

=====

No. 8
Computed, not measured: an optimized crystal structure of Nd3AlHg5 at the PBE-GGA level of DFT.

Final energy   -0.1900 Ry/atom

```
Nd3AlHg5
1.0
9.109 0.000 0.000
-4.554 7.888 0.000
0.000 0.000 6.482
Nd Al Hg
6 2 10
Cartesian
-1.499 2.596 1.621 Nd
-3.056 5.293 4.862 Nd
2.997 0.000 1.621 Nd
1.499 2.596 4.862 Nd
6.112 0.000 4.862 Nd
3.056 5.293 1.621 Nd
0.000 0.000 0.000 Al
0.000 0.000 3.241 Al
-1.521 2.635 4.862 Hg
-3.033 5.253 1.621 Hg
0.000 5.259 0.000 Hg
0.000 5.259 3.241 Hg
3.043 0.000 4.862 Hg
1.521 2.635 1.621 Hg
6.066 0.000 1.621 Hg
3.033 5.253 4.862 Hg
4.554 2.629 0.000 Hg
4.554 2.629 3.241 Hg
```

=====

| no. | total moment (μB/cell) |
| --- | --- |
| 1 | 0.0 |
| 2 | 0.0 |
| 3 | 0.0 |
| 4 | 0.0 |
| 5 | 1.9 |
| 6 | 0.0 |
| 7 | 0.0 |
| 8 | 0.0 |